# 1
## Sc2Be17 (PBE-GGA)

Data for Sc2Be17 after structural relaxation.

Calculated values
- spin magnetization (μB/cell) = 0.00
- energy of formation (eV/atom) = -0.1892
- space-group type = P6_3/mmc (194)

Structure (extended XYZ):
```
38
Lattice="-2.6880 -6.5680 -2.4752 5.4746 3.4878 -3.7888 5.0164 -3.5522 3.9784" Properties=species:S:1:pos:R:3 pbc="T T T"
Sc 1.2541 -0.8881 0.9946
Sc 3.7623 -2.6642 2.9838
Sc 4.0078 -0.7522 -2.3563
Sc 3.7952 -5.8803 0.0707
Be 1.4335 0.0258 -1.6252
Be 6.3694 -6.6583 -0.6604
Be 2.8295 -1.5173 -4.7632
Be 3.9799 -4.9661 -2.5555
Be 4.9735 -5.1152 2.4776
Be 3.8231 -1.6663 0.2699
Be 4.1761 1.7730 -3.5232
Be 2.5839 -3.4231 0.5825
Be 3.6269 -8.4055 1.2376
Be 5.2191 -3.2094 -2.8681
Be 1.2373 -6.7134 -0.6575
Be 6.5656 0.0809 -1.6281
Be 5.7864 -2.0117 -0.9458
Be 2.0166 -4.6208 -1.3398
Be 0.5574 -3.5875 -2.4971
Be 7.2456 -3.0450 0.2115
Be 0.5061 -5.9949 -2.6220
Be 7.2969 -0.6376 0.3364
Be 2.8627 -3.1088 -3.0166
Be 8.0916 -1.5160 -1.4499
Be 4.9403 -3.5237 0.7310
Be -0.2886 -5.1164 -0.8357
Be 0.4921 -3.2088 -0.1168
Be 5.7496 -4.4183 -1.0884
Be 7.3109 -3.4237 -2.1688
Be 2.0534 -2.2141 -1.1972
Be 5.7068 -1.6506 1.4369
Be 2.0962 -4.9819 -3.7225
Be -1.3440 -3.2840 -1.2376
Be 2.7373 1.7439 -1.8944
Be 1.1642 -5.0601 0.7516
Be 1.3933 -1.5401 -3.1320
Be 5.2455 -0.0322 0.0948
Be 3.9015 -3.3162 -1.1428
```

# 2
## ErVSi2 (PBE-GGA)

Data for ErVSi2 after structural relaxation.

Calculated values
- spin magnetization (μB/cell) = 1.16
- formation energy without anion corrections (eV/f.u.) = -1.6
- space-group type = R-3m (166)

Structure (extended XYZ):
```
4
Lattice="4.0996 0.0000 0.0000 2.0498 3.5503 0.0000 2.0498 1.1834 4.9125" Properties=species:S:1:pos:R:3 pbc="T T T"
Si 6.1493 3.5503 4.1231
Si 2.0498 1.1834 0.7893
V 0.0000 0.0000 0.0000
Er 4.0996 2.3669 2.4562
```

# 3
## ReHg (PBE-GGA)

Data for ReHg after structural relaxation.

Calculated values
- ΔE to the lowest computed polymorph (meV per atom) = 521
- spin magnetization (μB/cell) = 0.00
- energy of formation (eV/atom) = 0.9136
- space-group type = Cmcm (63)

Structure (extended XYZ):
```
4
Lattice="4.7864 0.0000 0.0000 -2.3932 5.5415 0.0000 0.0000 0.0000 2.9912" Properties=species:S:1:pos:R:3 pbc="T T T"
Hg 0.0000 1.5649 0.7478
Hg 2.3932 3.9766 2.2434
Re 0.0000 4.5909 0.7478
Re 2.3932 0.9506 2.2434
```

# 4
## TbYbRh2 (PBE-GGA)

Data for TbYbRh2 after structural relaxation.

Calculated values
- spin magnetization (μB/cell) = 0.31
- energy of formation (eV/atom) = -0.7248
- space-group type = Fm-3m (225)

Structure (extended XYZ):
```
4
Lattice="-4.2164 -2.0878 -1.1042 -1.9655 -3.2211 3.0195 -3.9843 1.1374 2.4874" Properties=species:S:1:pos:R:3 pbc="T T T"
Rh -2.5415 -1.0429 1.1007
Rh -7.6246 -3.1286 3.3020
Yb 0.0000 0.0000 0.0000
Tb -5.0831 -2.0857 2.2013
```

# 5
## RbNpTa2O8 (PBE-GGA)

Data for RbNpTa2O8 after structural relaxation.

Calculated values
- spin magnetization (μB/cell) = 2.00
- formation energy without anion corrections (eV/f.u.) = -32.4
- space-group type = C2/m (12)

Structure (extended XYZ):
```
12
Lattice="5.5496 0.9149 0.7087 0.9848 5.5389 0.7074 0.9945 0.9835 7.6928" Properties=species:S:1:pos:R:3 pbc="T T T"
Rb 0.4972 0.4918 3.8464
Np 0.0000 0.0000 0.0000
Ta 3.5946 3.5507 6.1005
Ta 3.9342 3.8865 3.0084
O 2.4395 4.6884 2.2151
O 5.2103 5.1485 2.0756
O 4.7170 2.3819 2.2156
O 5.0894 2.7489 6.8938
O 2.3185 2.2888 7.0333
O 2.8119 5.0554 6.8933
O 4.6409 4.5810 4.7034
O 2.8880 2.8563 4.4055
```

# 6
## Dy2CuRh (PBE-GGA)

Data for Dy2CuRh after structural relaxation.

Calculated values
- ΔE to the lowest computed polymorph (meV per atom) = 0
- spin magnetization (μB/cell) = 0.00
- energy of formation (eV/atom) = -0.6063
- space-group type = P2_1/m (11)

Structure (extended XYZ):
```
8
Lattice="4.3457 0.0000 0.0000 0.0000 5.5529 0.0636 0.0000 -2.6872 7.0772" Properties=species:S:1:pos:R:3 pbc="T T T"
Dy 3.2592 0.1064 3.0434
Dy 1.0864 2.7593 4.0974
Dy 1.0864 4.1688 0.5175
Dy 3.2592 -1.3031 6.6232
Cu 3.2592 2.8594 2.0841
Cu 1.0864 0.0063 5.0567
Rh 1.0864 1.3347 1.5313
Rh 3.2592 1.5310 5.6094
```

# 7
## CoAs2Au2 (PBE-GGA)

Data for CoAs2Au2 after structural relaxation.

Calculated values
- spin magnetization (μB/cell) = 0.00
- energy of formation (eV/atom) = 0.0529
- space-group type = P4/mbm (127)

Structure (extended XYZ):
```
10
Lattice="-4.3655 1.9684 3.5158 -3.8935 -3.3952 -2.9337 0.8887 -3.8213 3.2430" Properties=species:S:1:pos:R:3 pbc="T T T"
Co 0.0000 0.0000 0.0000
Co -4.1295 -0.7134 0.2910
As -4.8556 -2.2001 -1.2618
As -6.2425 -0.5219 1.0957
As -3.4034 0.7733 1.8439
As -2.0165 -0.9049 -0.5136
Au -3.7936 -4.0041 0.3162
Au -5.7629 -2.8337 2.2349
Au -3.5768 -1.2440 3.5090
Au -1.6075 -2.4144 1.5902
```

# 8
## CuAs3N (PBE-GGA)

Data for CuAs3N after structural relaxation.

Calculated values
- ΔE to the lowest computed polymorph (meV per atom) = 0
- spin magnetization (μB/cell) = 0.00
- formation energy without anion corrections (eV/f.u.) = 4.2
- space-group type = Pm-3m (221)

Structure (extended XYZ):
```
5
Lattice="-0.7775 -3.5500 2.3313 -0.2627 -2.3253 -3.6285 4.2389 -0.7952 0.2028" Properties=species:S:1:pos:R:3 pbc="T T T"
As -0.1313 -1.1626 -1.8142
As 2.1195 -0.3976 0.1014
As -0.3887 -1.7750 1.1656
Cu 1.5994 -3.3352 -0.5472
N 0.0000 0.0000 0.0000
```